No. 1
# Ta2FePb (PBE, optimized geometry)
data_Ta2FePb
_symmetry_space_group_name_H-M 'P 1 2/m 1'
_symmetry_Int_Tables_number 10
_cell_length_a 3.043
_cell_length_b 3.959
_cell_length_c 6.070
_cell_angle_alpha 90.00
_cell_angle_beta 96.22
_cell_angle_gamma 90.00
loop_
_symmetry_equiv_pos_as_xyz
'x,y,z'
'-x,-y,-z'
'-x,y,-z'
'x,-y,z'
loop_
_atom_site_label
_atom_site_fract_x
_atom_site_fract_y
_atom_site_fract_z
Ta1 0.064 0.000 0.290
Fe1 0.500 0.500 0.500
Pb1 0.500 0.500 0.000
# DOS(E_F) = 0.706 states/eV/atom

***

No. 2
# Ta3FePb (PBE, optimized geometry)
data_Ta3FePb
_symmetry_space_group_name_H-M 'P m -3 m'
_symmetry_Int_Tables_number 221
_symmetry_space_group_name_Hall '-P 4 2 3'
_cell_length_a 4.647
_cell_length_b 4.647
_cell_length_c 4.647
_cell_angle_alpha 90.00
_cell_angle_beta 90.00
_cell_angle_gamma 90.00
loop_
_atom_site_label
_atom_site_fract_x
_atom_site_fract_y
_atom_site_fract_z
Ta1 0.000 0.000 0.500
Fe1 0.000 0.000 0.000
Pb1 0.500 0.500 0.500
# DOS(E_F) = 1.314 states/eV/atom

***

No. 3
# TaFePb2 (PBE, optimized geometry)
data_TaFePb2
_symmetry_space_group_name_H-M 'I -4 m 2'
_symmetry_Int_Tables_number 119
_symmetry_space_group_name_Hall 'I -4 -2'
_cell_length_a 4.157
_cell_length_b 4.157
_cell_length_c 9.561
_cell_angle_alpha 90.00
_cell_angle_beta 90.00
_cell_angle_gamma 90.00
loop_
_atom_site_label
_atom_site_fract_x
_atom_site_fract_y
_atom_site_fract_z
Ta1 0.000 0.000 0.000
Fe1 0.000 0.500 0.750
Pb1 0.000 0.000 0.500
Pb2 0.000 0.500 0.250
# DOS(E_F) = 0.800 states/eV/atom

***

No. 4
# Ta2FePb (PBE, optimized geometry)
data_Ta2FePb
_symmetry_space_group_name_H-M 'P 4/m m m'
_symmetry_Int_Tables_number 123
_symmetry_space_group_name_Hall '-P 4 2'
_cell_length_a 3.020
_cell_length_b 3.020
_cell_length_c 7.961
_cell_angle_alpha 90.00
_cell_angle_beta 90.00
_cell_angle_gamma 90.00
loop_
_atom_site_label
_atom_site_fract_x
_atom_site_fract_y
_atom_site_fract_z
Ta1 0.000 0.000 0.195
Fe1 0.500 0.500 0.000
Pb1 0.500 0.500 0.500
# DOS(E_F) = 0.883 states/eV/atom

***

No. 5
# TaFePb2 (PBE, optimized geometry)
data_TaFePb2
_symmetry_space_group_name_H-M 'P 4/m m m'
_symmetry_Int_Tables_number 123
_symmetry_space_group_name_Hall '-P 4 2'
_cell_length_a 3.384
_cell_length_b 3.384
_cell_length_c 7.075
_cell_angle_alpha 90.00
_cell_angle_beta 90.00
_cell_angle_gamma 90.00
loop_
_atom_site_label
_atom_site_fract_x
_atom_site_fract_y
_atom_site_fract_z
Ta1 0.000 0.000 0.000
Fe1 0.000 0.000 0.500
Pb1 0.500 0.500 0.268
# DOS(E_F) = 1.004 states/eV/atom

***

No. 6
# TaFePb2 (PBE, optimized geometry)
data_TaFePb2
_symmetry_space_group_name_H-M 'I m m 2'
_symmetry_Int_Tables_number 44
_cell_length_a 3.186
_cell_length_b 4.671
_cell_length_c 12.082
_cell_angle_alpha 90.00
_cell_angle_beta 90.00
_cell_angle_gamma 90.00
loop_
_symmetry_equiv_pos_as_xyz
'x,y,z'
'-x,-y,z'
'-x,y,z'
'x,-y,z'
'x+1/2,y+1/2,z+1/2'
'-x+1/2,-y+1/2,z+1/2'
'-x+1/2,y+1/2,z+1/2'
'x+1/2,-y+1/2,z+1/2'
loop_
_atom_site_label
_atom_site_fract_x
_atom_site_fract_y
_atom_site_fract_z
Ta1 0.000 0.000 0.000
Fe1 0.000 0.500 0.643
Pb1 0.000 0.000 0.389
Pb2 0.000 0.500 0.174
# DOS(E_F) = 0.699 states/eV/atom

***

No. 7
# TaFePb (PBE, optimized geometry)
data_TaFePb
_symmetry_space_group_name_H-M 'P 3 m 1'
_symmetry_Int_Tables_number 156
_cell_length_a 3.2404
_cell_length_b 3.2404
_cell_length_c 6.5139
_cell_angle_alpha 90.00
_cell_angle_beta 90.00
_cell_angle_gamma 120.00
loop_
_symmetry_equiv_pos_as_xyz
'x,y,z'
'-y,x-y,z'
'-x+y,-x,z'
'-y,-x,z'
'-x+y,y,z'
'x,x-y,z'
loop_
_atom_site_label
_atom_site_fract_x
_atom_site_fract_y
_atom_site_fract_z
Ta1 0.0000 0.0000 0.0000
Fe1 0.6667 0.3333 0.2324
Pb1 0.3333 0.6667 0.5892
# DOS(E_F) = 0.614 states/eV/atom

***

No. 8
# TaFe2Pb (PBE, optimized geometry)
data_TaFe2Pb
_symmetry_space_group_name_H-M 'I -4 2 d'
_symmetry_Int_Tables_number 122
_symmetry_space_group_name_Hall 'I -4 2bw'
_cell_length_a 7.181
_cell_length_b 7.181
_cell_length_c 5.613
_cell_angle_alpha 90.00
_cell_angle_beta 90.00
_cell_angle_gamma 90.00
loop_
_atom_site_label
_atom_site_fract_x
_atom_site_fract_y
_atom_site_fract_z
Ta1 0.000 0.000 0.000
Fe1 0.220 0.250 0.125
Pb1 0.000 0.000 0.500
# DOS(E_F) = 1.169 states/eV/atom

***

Magnetization readings, ordered: 1.691; 0.000; 2.561; 0.911; 2.013; 0.007; 0.720; 3.760 μB/f.u.
DFT formation energy readings, ordered: 1.5; 3.3; 3.0; 1.2; 3.1; 2.2; 1.4; 3.3 eV per formula unit
Energy readings, ordered: -34.360; -44.462; -49.530; -34.681; -24.605; -51.067; -22.631; -116.712 eV/cell